1.
First-principles (PBE-GGA) data for CeMgAs2Ir5 after structural relaxation, as listed in the Alexandria database.

Output
SG = P4/mmm (123)
Energy of formation = -1.4 eV per formula unit
Volume = 179 Å³ per cell
Raw total energy = -6.9485 eV per atom

Lattice parameters (Å, degrees): 3.9933 3.9933 11.1967 90.00 90.00 90.00
Last column: nearest neighbours and their distance in Å.
Fractional coordinates of all 9 atoms:
Ce 0.0000 0.0000 0.5000  4 Ir 2.82
Mg 0.0000 0.0000 0.0000  8 Ir 2.72
As 0.5000 0.5000 0.2840  5 Ir 2.40-2.42
As 0.5000 0.5000 0.7160  5 Ir 2.40-2.42
Ir 0.0000 0.5000 0.1648  2 As 2.40
Ir 0.5000 0.0000 0.1648  2 As 2.40
Ir 0.0000 0.5000 0.8352  2 As 2.40
Ir 0.5000 0.0000 0.8352  2 As 2.40
Ir 0.5000 0.5000 0.5000  2 As 2.42

---

2.
First-principles (PBE-GGA) data for CeAsIrN after structural relaxation, as listed in the Alexandria database.

Output
SG = P4/nmm (129)
Volume = 139 Å³ per cell
Raw total energy = -7.9723 eV per atom
Energy relative to the elements, uncorrected = -4.1 eV/f.u.

Lattice parameters (Å, degrees): 4.0666 4.0666 8.4172 90.00 90.00 90.00
Last column: nearest neighbours and their distance in Å.
Fractional coordinates of all 8 atoms:
Ce 0.5000 0.0000 0.6282  4 N 2.30
Ce 0.0000 0.5000 0.3718  4 N 2.30
As 0.0000 0.5000 0.8315  4 Ir 2.48
As 0.5000 0.0000 0.1685  4 Ir 2.48
Ir 0.5000 0.5000 0.0000  4 As 2.48
Ir 0.0000 0.0000 0.0000  4 As 2.48
N 0.0000 0.0000 0.5000  4 Ce 2.30
N 0.5000 0.5000 0.5000  4 Ce 2.30

---

3.
First-principles (PBE-GGA) data for Ce2NbAs4Ir3 after structural relaxation, as listed in the Alexandria database.

Output
SG = P-4m2 (115)
Energy of formation = -7.5 eV per formula unit
Volume = 192 Å³ per cell
Raw total energy = -7.4620 eV per atom

Lattice parameters (Å, degrees): 4.3737 4.3737 10.0279 90.00 90.00 90.00
Last column: nearest neighbours and their distance in Å.
Fractional coordinates of all 10 atoms:
Ce 0.5000 0.0000 0.2363  8 As 3.22-3.34, 7 Ir 3.33-3.52, 2 Nb 3.43
Ce 0.0000 0.5000 0.7637  8 As 3.22-3.34, 7 Ir 3.33-3.52, 2 Nb 3.43
Nb 0.5000 0.5000 0.5000  4 As 2.59
As 0.5000 0.5000 0.0000  4 Ir 2.47
As 0.0000 0.0000 0.0000  4 Ir 2.47
As 0.5000 0.0000 0.6388  3 Ir 2.47-2.59, 2 Nb 2.59
As 0.0000 0.5000 0.3612  3 Ir 2.47-2.59, 2 Nb 2.59
Ir 0.0000 0.0000 0.5000  4 As 2.59
Ir 0.5000 0.0000 0.8855  5 As 2.47
Ir 0.0000 0.5000 0.1145  5 As 2.47

---

4.
First-principles (PBE-GGA) data for Ce2NiAs3Ir4 after structural relaxation, as listed in the Alexandria database.

Output
SG = P-4m2 (115)
Energy of formation = -7.0 eV per formula unit
Volume = 178 Å³ per cell
Raw total energy = -7.4055 eV per atom

Lattice parameters (Å, degrees): 4.1493 4.1493 10.3631 90.00 90.00 90.00
Last column: nearest neighbours and their distance in Å.
Fractional coordinates of all 10 atoms:
Ce 0.5000 0.0000 0.2586  8 Ir 3.15-3.39, 6 As 3.19-3.25, 2 Ni 3.25
Ce 0.0000 0.5000 0.7414  8 Ir 3.15-3.39, 6 As 3.19-3.25, 2 Ni 3.25
Ni 0.5000 0.5000 0.5000  4 Ir 2.48
As 0.0000 0.0000 0.5000  4 Ir 2.48
As 0.5000 0.0000 0.8620  5 Ir 2.39-2.52
As 0.0000 0.5000 0.1380  5 Ir 2.39-2.52
Ir 0.5000 0.5000 0.0000  4 As 2.52
Ir 0.0000 0.0000 0.0000  4 As 2.52
Ir 0.5000 0.0000 0.6313  3 As 2.39-2.48, 2 Ni 2.48
Ir 0.0000 0.5000 0.3687  3 As 2.39-2.48, 2 Ni 2.48

---

5.
First-principles (PBE-GGA) data for Ce2Ni3As4Ir after structural relaxation, as listed in the Alexandria database.

Output
SG = P-4m2 (115)
Energy of formation = -7.9 eV per formula unit
Volume = 171 Å³ per cell
Raw total energy = -6.4598 eV per atom

Lattice parameters (Å, degrees): 4.2537 4.2537 9.4675 90.00 90.00 90.00
Last column: nearest neighbours and their distance in Å.
Fractional coordinates of all 10 atoms:
Ce 0.5000 0.0000 0.2479  8 As 3.17-3.20, 2 Ir 3.20, 7 Ni 3.20-3.43
Ce 0.0000 0.5000 0.7521  8 As 3.17-3.20, 7 Ni 3.20-3.43, 2 Ir 3.20
Ni 0.0000 0.0000 0.5000  4 As 2.50
Ni 0.5000 0.0000 0.8853  5 As 2.34-2.39
Ni 0.0000 0.5000 0.1147  5 As 2.34-2.39
As 0.5000 0.5000 0.0000  4 Ni 2.39
As 0.0000 0.0000 0.0000  4 Ni 2.39
As 0.5000 0.0000 0.6383  3 Ni 2.34-2.50, 2 Ir 2.50
As 0.0000 0.5000 0.3617  3 Ni 2.34-2.50, 2 Ir 2.50
Ir 0.5000 0.5000 0.5000  4 As 2.50

---

6.
First-principles (PBE-GGA) data for Ce2Ni4As3Ir after structural relaxation, as listed in the Alexandria database.

Output
SG = P-4m2 (115)
Energy of formation = -7.0 eV per formula unit
Volume = 163 Å³ per cell
Raw total energy = -6.4768 eV per atom

Lattice parameters (Å, degrees): 4.0009 4.0009 10.2042 90.00 90.00 90.00
Last column: nearest neighbours and their distance in Å.
Fractional coordinates of all 10 atoms:
Ce 0.5000 0.0000 0.2556  8 Ni 2.99-3.29, 6 As 3.13-3.20, 2 Ir 3.20
Ce 0.0000 0.5000 0.7444  8 Ni 2.99-3.29, 6 As 3.13-3.20, 2 Ir 3.20
Ni 0.5000 0.5000 0.0000  4 As 2.37
Ni 0.0000 0.0000 0.0000  4 As 2.37
Ni 0.5000 0.0000 0.6504  3 As 2.29-2.52, 2 Ir 2.52
Ni 0.0000 0.5000 0.3496  3 As 2.29-2.52, 2 Ir 2.52
As 0.0000 0.0000 0.5000  4 Ni 2.52
As 0.5000 0.0000 0.8751  5 Ni 2.29-2.37
As 0.0000 0.5000 0.1249  5 Ni 2.29-2.37
Ir 0.5000 0.5000 0.5000  4 Ni 2.52

---

Question: Among the records above, which one has the highest raw total energy?
Answer: Ce2Ni3As4Ir